Here is a geometry-optimized LuPuZnRu structure from Alexandria. Energies are from GGA-PBE.

POSCAR file:
```
LuPuZnRu
1.0
6.872 0.000 0.000
0.000 6.872 0.000
0.000 0.000 6.872
Lu Pu Zn Ru
4 4 4 4
Direct
0.000 0.000 0.000
0.000 0.500 0.500
0.500 0.000 0.500
0.500 0.500 0.000
0.000 0.000 0.500
0.000 0.500 0.000
0.500 0.000 0.000
0.500 0.500 0.500
0.250 0.250 0.750
0.250 0.750 0.250
0.750 0.250 0.250
0.750 0.750 0.750
0.250 0.250 0.250
0.250 0.750 0.750
0.750 0.250 0.750
0.750 0.750 0.250
```

Calculated values
**DFT formation energy**: -0.21 eV per atom
**Electronic total energy**: -7.56 eV per atom
**Space-group type**: F-43m, No. 216